(1)
Material: NbRe2Ag
Method: DFT, PBE-GGA
State: relaxed

```
NbRe2Ag
1.0
0.000 3.188 3.188
3.188 0.000 3.188
3.188 3.188 0.000
Nb Re Ag
1 2 1
direct
0.000 0.000 0.000
0.500 0.500 0.500
0.750 0.750 0.750
0.250 0.250 0.250
```

Calculated values
total moment	0.1	Bohr magnetons per cell
symmetry	F-43m
E_form	475	meV/atom

---

(2)
Material: BPOsO
Method: DFT, PBE-GGA
State: relaxed

```
BPOsO
1.0
2.854 0.000 0.000
0.000 7.124 0.000
0.000 0.000 4.581
B P Os O
2 2 2 2
direct
0.000 0.097 0.000
0.000 0.903 0.500
0.500 0.295 0.910
0.500 0.705 0.410
0.500 0.390 0.426
0.500 0.610 0.926
0.000 0.055 0.306
0.000 0.945 0.806
```

Calculated values
total moment	0.0	Bohr magnetons per cell
symmetry	Pmc2_1
energy above the lowest structure with this stoichiometry	0.00	kcal/mol of atoms

---

(3)
Material: Be2ReAu
Method: DFT, PBE-GGA
State: relaxed

```
Be2ReAu
1.0
0.000 2.994 2.994
2.994 0.000 2.994
2.994 2.994 0.000
Be Re Au
2 1 1
direct
0.000 0.000 0.000
0.250 0.250 0.250
0.500 0.500 0.500
0.750 0.750 0.750
```

Calculated values
total moment	1.2	Bohr magnetons per cell
symmetry	F-43m
electronic total energy	-20.548	eV per cell

---

(4)
Material: RbHf3Te5
Method: DFT, PBE-GGA
State: relaxed

```
RbHf3Te5
1.0
6.332 0.000 0.000
-3.166 5.484 0.000
0.000 0.000 8.495
Rb Hf Te
1 3 5
direct
0.000 0.000 0.000
0.000 0.500 0.500
0.500 0.000 0.500
0.500 0.500 0.500
0.000 0.000 0.500
0.333 0.667 0.236
0.333 0.667 0.764
0.667 0.333 0.236
0.667 0.333 0.764
```

Calculated values
total moment	0.0	Bohr magnetons per cell
symmetry	P6/mmm
electronic total energy	-53.888	eV per cell

---

Question: Which formula does entry 4 have?
Answer: RbHf3Te5

---

Question: Number 3 is which compound?
Answer: Be2ReAu